# 1
# KMo3Se3, relaxed, DFT PBE-GGA
data_KMo3Se3
_chemical_formula_sum 'K2 Mo6 Se6'
_cell_length_a 9.2795
_cell_length_b 9.2795
_cell_length_c 4.5222
_cell_angle_alpha 90.00
_cell_angle_beta 90.00
_cell_angle_gamma 120.00
_space_group_name_H-M_alt 'P 63/m'
_space_group_IT_number 176
_space_group_name_Hall '-P 6c'
loop_
_atom_site_label
_atom_site_type_symbol
_atom_site_fract_x
_atom_site_fract_y
_atom_site_fract_z
_atom_site_occupancy
K1 K 0.3333 0.6667 0.2500 1
Mo1 Mo 0.0261 0.8488 0.2500 1
Se1 Se 0.0529 0.7008 0.7500 1
# - Electronic total energy: -7.013 eV/atom


# 2
# KSiMo, relaxed, DFT PBE-GGA
data_KSiMo
_chemical_formula_sum 'K4 Si4 Mo4'
_cell_length_a 6.6543
_cell_length_b 6.6543
_cell_length_c 6.6543
_cell_angle_alpha 90.00
_cell_angle_beta 90.00
_cell_angle_gamma 90.00
_space_group_name_H-M_alt 'F -4 3 m'
_space_group_IT_number 216
_space_group_name_Hall 'F -4 2 3'
loop_
_atom_site_label
_atom_site_type_symbol
_atom_site_fract_x
_atom_site_fract_y
_atom_site_fract_z
_atom_site_occupancy
K1 K 0.0000 0.0000 0.0000 1
Si1 Si 0.2500 0.2500 0.2500 1
Mo1 Mo 0.0000 0.0000 0.5000 1
# - Energy relative to the lowest polymorph listed for this composition: 0.000 eV per atom
# - Electronic total energy: -4.470 eV/atom


# 3
# KSn5Mo3, relaxed, DFT PBE-GGA
data_KSn5Mo3
_chemical_formula_sum 'K1 Sn5 Mo3'
_cell_length_a 5.5533
_cell_length_b 5.5533
_cell_length_c 9.1410
_cell_angle_alpha 90.00
_cell_angle_beta 90.00
_cell_angle_gamma 120.00
_space_group_name_H-M_alt 'P 6/m m m'
_space_group_IT_number 191
_space_group_name_Hall '-P 6 2'
loop_
_atom_site_label
_atom_site_type_symbol
_atom_site_fract_x
_atom_site_fract_y
_atom_site_fract_z
_atom_site_occupancy
K1 K 0.0000 0.0000 0.0000 1
Sn1 Sn 0.0000 0.0000 0.5000 1
Sn2 Sn 0.3333 0.6667 0.2334 1
Mo1 Mo 0.0000 0.5000 0.5000 1
# - Electronic total energy: -5.943 eV/atom


# 4
# K2Sn2Mo, relaxed, DFT PBE-GGA
data_K2Sn2Mo
_chemical_formula_sum 'K4 Sn4 Mo2'
_cell_length_a 5.0763
_cell_length_b 5.0763
_cell_length_c 15.1626
_cell_angle_alpha 90.00
_cell_angle_beta 90.00
_cell_angle_gamma 120.00
_space_group_name_H-M_alt 'P 63/m m c'
_space_group_IT_number 194
_space_group_name_Hall '-P 6c 2c'
loop_
_atom_site_label
_atom_site_type_symbol
_atom_site_fract_x
_atom_site_fract_y
_atom_site_fract_z
_atom_site_occupancy
K1 K 0.0000 0.0000 0.0000 1
K2 K 0.3333 0.6667 0.2500 1
Sn1 Sn 0.3333 0.6667 0.6549 1
Mo1 Mo 0.0000 0.0000 0.2500 1
# - Electronic total energy: -3.543 eV/atom


# 5
# KTaMo, relaxed, DFT PBE-GGA
data_KTaMo
_chemical_formula_sum 'K4 Ta4 Mo4'
_cell_length_a 6.6844
_cell_length_b 6.6844
_cell_length_c 6.6844
_cell_angle_alpha 90.00
_cell_angle_beta 90.00
_cell_angle_gamma 90.00
_space_group_name_H-M_alt 'F -4 3 m'
_space_group_IT_number 216
_space_group_name_Hall 'F -4 2 3'
loop_
_atom_site_label
_atom_site_type_symbol
_atom_site_fract_x
_atom_site_fract_y
_atom_site_fract_z
_atom_site_occupancy
K1 K 0.0000 0.0000 0.0000 1
Ta1 Ta 0.2500 0.2500 0.2500 1
Mo1 Mo 0.2500 0.2500 0.7500 1
# - Energy relative to the lowest polymorph listed for this composition: 1.108 eV per atom
# - Electronic total energy: -4.746 eV/atom


# 6
# KTaMo, relaxed, DFT PBE-GGA
data_KTaMo
_chemical_formula_sum 'K4 Ta4 Mo4'
_cell_length_a 6.5886
_cell_length_b 6.5886
_cell_length_c 6.5886
_cell_angle_alpha 90.00
_cell_angle_beta 90.00
_cell_angle_gamma 90.00
_space_group_name_H-M_alt 'F -4 3 m'
_space_group_IT_number 216
_space_group_name_Hall 'F -4 2 3'
loop_
_atom_site_label
_atom_site_type_symbol
_atom_site_fract_x
_atom_site_fract_y
_atom_site_fract_z
_atom_site_occupancy
K1 K 0.0000 0.0000 0.0000 1
Ta1 Ta 0.0000 0.0000 0.5000 1
Mo1 Mo 0.2500 0.2500 0.2500 1
# - Energy relative to the lowest polymorph listed for this composition: 0.000 eV per atom
# - Electronic total energy: -5.854 eV/atom


# 7
# KTbMo, relaxed, DFT PBE-GGA
data_KTbMo
_chemical_formula_sum 'K4 Tb4 Mo4'
_cell_length_a 7.4719
_cell_length_b 7.4719
_cell_length_c 7.4719
_cell_angle_alpha 90.00
_cell_angle_beta 90.00
_cell_angle_gamma 90.00
_space_group_name_H-M_alt 'F -4 3 m'
_space_group_IT_number 216
_space_group_name_Hall 'F -4 2 3'
loop_
_atom_site_label
_atom_site_type_symbol
_atom_site_fract_x
_atom_site_fract_y
_atom_site_fract_z
_atom_site_occupancy
K1 K 0.0000 0.0000 0.0000 1
Tb1 Tb 0.0000 0.0000 0.5000 1
Mo1 Mo 0.2500 0.2500 0.2500 1
# - Energy relative to the lowest polymorph listed for this composition: 0.000 eV per atom
# - Electronic total energy: -3.858 eV/atom


# 8
# KTe5Mo3, relaxed, DFT PBE-GGA
data_KTe5Mo3
_chemical_formula_sum 'K1 Te5 Mo3'
_cell_length_a 6.0690
_cell_length_b 6.0690
_cell_length_c 8.3679
_cell_angle_alpha 90.00
_cell_angle_beta 90.00
_cell_angle_gamma 120.00
_space_group_name_H-M_alt 'P 6/m m m'
_space_group_IT_number 191
_space_group_name_Hall '-P 6 2'
loop_
_atom_site_label
_atom_site_type_symbol
_atom_site_fract_x
_atom_site_fract_y
_atom_site_fract_z
_atom_site_occupancy
K1 K 0.0000 0.0000 0.0000 1
Te1 Te 0.0000 0.0000 0.5000 1
Te2 Te 0.3333 0.6667 0.2456 1
Mo1 Mo 0.0000 0.5000 0.5000 1
# - Electronic total energy: -5.585 eV/atom